# 1
Here is an optimized crystal structure of Sm3YEr2Te6 from Alexandria. Energies are from PBE.

Cell: 4.3551 8.8551 9.8471 Å, 103.88 102.78 90.00°
Fractional coordinates of all 12 atoms:
Sm1 0.5000 0.5000 0.0000
Sm2 0.8352 0.1678 0.6705
Sm3 0.1648 0.8322 0.3295
Y1 0.5000 0.0000 0.0000
Er1 0.8342 0.6687 0.6684
Er2 0.1658 0.3313 0.3316
Te1 0.3339 0.9103 0.6679
Te2 0.6695 0.5766 0.3391
Te3 0.6661 0.0897 0.3321
Te4 0.0030 0.2470 0.0061
Te5 0.9970 0.7530 0.9939
Te6 0.3305 0.4234 0.6609

Properties
symmetry = C2/m (12)
formation energy from raw total energies = -1.3170 eV/atom


# 2
Here is an optimized crystal structure of Sm2YErTe5 from Alexandria. Energies are from PBE.

Cell: 5.5099 5.5099 11.5213 Å, 90.00 90.00 90.00°
Last column: magnetic moment on the atom in μB.
Fractional coordinates of all 9 atoms:
Sm1 0.5000 0.5000 0.3413  -0.14
Sm2 0.5000 0.5000 0.6587  -0.14
Y1 0.0000 0.0000 0.0000  -0.01
Er1 0.0000 0.0000 0.5000  -0.02
Te1 0.0000 0.5000 0.5000  0.00
Te2 0.5000 0.0000 0.5000  0.00
Te3 0.0000 0.0000 0.7538  0.00
Te4 0.0000 0.0000 0.2462  0.00
Te5 0.5000 0.5000 0.0000  -0.01

Properties
symmetry = P4/mmm (123)
formation energy from raw total energies = -0.7707 eV/atom


# 3
Here is an optimized crystal structure of Sm2YEr3Te6 from Alexandria. Energies are from PBE.

Cell: 4.3379 8.8054 9.8036 Å, 103.85 102.78 90.00°
Fractional coordinates of all 12 atoms:
Sm1 0.8312 0.6636 0.6625
Sm2 0.1688 0.3364 0.3375
Y1 0.5000 0.0000 0.0000
Er1 0.5000 0.5000 0.0000
Er2 0.8305 0.1662 0.6610
Er3 0.1695 0.8338 0.3390
Te1 0.3338 0.9240 0.6676
Te2 0.6632 0.5895 0.3264
Te3 0.6662 0.0760 0.3324
Te4 0.9972 0.2513 0.9944
Te5 0.0028 0.7487 0.0056
Te6 0.3368 0.4105 0.6736

Properties
symmetry = C2/m (12)
formation energy from raw total energies = -1.2877 eV/atom


# 4
Here is an optimized crystal structure of Sm3Y2ErTe6 from Alexandria. Energies are from PBE.

Cell: 4.3679 8.8572 9.8494 Å, 103.51 102.81 90.00°
Fractional coordinates of all 12 atoms:
Sm1 0.5000 0.5000 0.0000
Sm2 0.8315 0.1667 0.6631
Sm3 0.1685 0.8333 0.3369
Y1 0.8322 0.6654 0.6644
Y2 0.1678 0.3346 0.3356
Er1 0.5000 0.0000 0.0000
Te1 0.3367 0.9140 0.6734
Te2 0.6677 0.5791 0.3354
Te3 0.6633 0.0860 0.3266
Te4 0.0011 0.2431 0.0023
Te5 0.9989 0.7569 0.9977
Te6 0.3323 0.4209 0.6646

Properties
symmetry = C2/m (12)
formation energy from raw total energies = -1.3328 eV/atom


# 5
Here is an optimized crystal structure of Sm2YErTe6 from Alexandria. Energies are from PBE.

Cell: 7.7694 7.7694 8.3630 Å, 62.32 62.33 60.00°
Fractional coordinates of all 10 atoms:
Sm1 0.5118 0.5118 0.4645
Sm2 0.0115 0.0115 0.9654
Y1 0.8238 0.8238 0.5287
Er1 0.3241 0.3241 0.0277
Te1 0.5958 0.2215 0.2539
Te2 0.2215 0.9287 0.2539
Te3 0.9287 0.5958 0.2539
Te4 0.4262 0.7195 0.7557
Te5 0.7195 0.0986 0.7557
Te6 0.0986 0.4261 0.7557

Properties
symmetry = R3 (146)
formation energy from raw total energies = -1.3701 eV/atom


# 6
Here is an optimized crystal structure of SmY2Er3Te6 from Alexandria. Energies are from PBE.

Cell: 4.3319 8.7652 9.7625 Å, 103.59 102.82 90.00°
Fractional coordinates of all 12 atoms:
Sm1 0.5000 0.0000 0.0000
Y1 0.8356 0.6719 0.6712
Y2 0.1644 0.3281 0.3288
Er1 0.5000 0.5000 0.0000
Er2 0.8361 0.1682 0.6722
Er3 0.1639 0.8318 0.3278
Te1 0.3295 0.9194 0.6590
Te2 0.6668 0.5842 0.3336
Te3 0.6705 0.0806 0.3410
Te4 0.9994 0.2573 0.9988
Te5 0.0006 0.7427 0.0012
Te6 0.3332 0.4158 0.6664

Properties
symmetry = C2/m (12)
formation energy from raw total energies = -1.2741 eV/atom


# 7
Here is an optimized crystal structure of Sm3YEr3Te8 from Alexandria. Energies are from PBE.

Cell: 8.7201 8.7200 8.7450 Å, 119.91 90.00 120.00°
Fractional coordinates of all 15 atoms:
Sm1 0.0000 0.0000 0.0000
Sm2 0.0000 0.5000 0.0000
Sm3 0.5000 0.5000 0.0000
Y1 0.0000 0.0000 0.5000
Er1 0.5000 0.0000 0.5000
Er2 0.5000 0.5000 0.5000
Er3 0.0000 0.5000 0.5000
Te1 0.2533 0.5067 0.2600
Te2 0.7467 0.4933 0.7400
Te3 0.7454 0.4907 0.2522
Te4 0.2546 0.5093 0.7478
Te5 0.7454 0.0068 0.2522
Te6 0.2546 0.9932 0.7478
Te7 0.2614 0.0068 0.2522
Te8 0.7386 0.9932 0.7478

Properties
symmetry = R-3m (166)
formation energy from raw total energies = -1.3782 eV/atom


# 8
Here is an optimized crystal structure of SmEr3Th2 from Alexandria. Energies are from PBE.

Cell: 9.7429 6.6506 6.6506 Å, 116.59 90.13 90.13°
Fractional coordinates of all 12 atoms:
Sm1 0.2500 0.3765 0.6235
Sm2 0.7500 0.6235 0.3765
Er1 0.7500 0.1252 0.8748
Er2 0.5841 0.1258 0.3775
Er3 0.0841 0.3775 0.1258
Er4 0.9159 0.6225 0.8742
Er5 0.4159 0.8742 0.6225
Er6 0.2500 0.8748 0.1252
Th1 0.9207 0.1206 0.3731
Th2 0.4207 0.3731 0.1206
Th3 0.0793 0.8794 0.6269
Th4 0.5793 0.6269 0.8794

Properties
excess energy over the best structure of this formula in the dataset = 32 meV per atom
symmetry = C2/c (15)
ΔH_f (0 K) = 0.125 eV per atom


# 9
Here is an optimized crystal structure of SmEr2Th from Alexandria. Energies are from PBE.

Cell: 4.9612 5.0521 5.0521 Å, 90.00 90.00 90.00°
Fractional coordinates of all 4 atoms:
Sm1 0.5000 0.0000 0.0000
Th1 0.5000 0.5000 0.5000
Er1 0.0000 0.0000 0.5000
Er2 0.0000 0.5000 0.0000

Properties
excess energy over the best structure of this formula in the dataset = 43 meV per atom
symmetry = P4/mmm (123)
ΔH_f (0 K) = 0.038 eV per atom


# 10
Here is an optimized crystal structure of SmEr4Th2 from Alexandria. Energies are from PBE.

Cell: 5.5915 5.5812 16.7008 Å, 90.00 90.00 120.06°
Fractional coordinates of all 14 atoms:
Sm1 0.5017 0.0034 0.7500
Sm2 0.4983 0.9966 0.2500
Er1 0.8320 0.6640 0.1469
Er2 0.8320 0.6640 0.3531
Er3 0.1680 0.3360 0.8531
Er4 0.1680 0.3360 0.6469
Er5 0.8351 0.6701 0.7500
Er6 0.1649 0.3299 0.2500
Er7 0.5000 0.0000 0.0000
Er8 0.5000 0.0000 0.5000
Th1 0.1660 0.3320 0.4436
Th2 0.8340 0.6680 0.9436
Th3 0.1660 0.3320 0.0564
Th4 0.8340 0.6680 0.5564

Properties
excess energy over the best structure of this formula in the dataset = 50 meV per atom
symmetry = Cmcm (63)
ΔH_f (0 K) = 0.170 eV per atom


# 11
Here is an optimized crystal structure of Sm3Er7Th from Alexandria. Energies are from PBE.

Cell: 8.6670 7.0089 7.0089 Å, 120.00 90.00 90.00°
Fractional coordinates of all 11 atoms:
Sm1 0.7817 0.4983 0.5017
Sm2 0.7817 0.4983 0.9967
Sm3 0.7817 0.0033 0.5017
Er1 0.1221 0.1687 0.8313
Er2 0.1221 0.1687 0.3375
Er3 0.1198 0.6667 0.3333
Er4 0.4460 0.8327 0.1673
Er5 0.4460 0.3345 0.1673
Er6 0.4460 0.8327 0.6655
Er7 0.1221 0.6625 0.8313
Th1 0.4458 0.3333 0.6667

Properties
excess energy over the best structure of this formula in the dataset = 11 meV per atom
symmetry = P3m1 (156)
ΔH_f (0 K) = 0.181 eV per atom


# 12
Here is an optimized crystal structure of Sm2Er8Th from Alexandria. Energies are from PBE.

Cell: 5.0124 7.9056 9.3611 Å, 104.62 105.53 90.00°
Fractional coordinates of all 11 atoms:
Sm1 0.7720 0.3639 0.5440
Sm2 0.2280 0.6361 0.4560
Er1 0.4104 0.5480 0.8209
Er2 0.6800 0.9070 0.3601
Er3 0.8652 0.8221 0.7304
Er4 0.9558 0.2687 0.9115
Er5 0.1348 0.1779 0.2696
Er6 0.3200 0.0930 0.6399
Er7 0.5896 0.4520 0.1791
Er8 0.0442 0.7313 0.0885
Th1 0.5000 0.0000 0.0000

Properties
symmetry = C2/m (12)
ΔH_f (0 K) = 0.028 eV per atom